Below is a geometry-optimized ZnSbCl structure, with properties calculated at the PBE level.

Lattice parameters (Å, degrees): 4.8727 4.8727 4.8727 60.00 60.00 60.00
Fractional coordinates of all 3 atoms:
Zn (0.0000, 0.0000, 0.0000)
Sb (0.2500, 0.2500, 0.2500)
Cl (0.5000, 0.5000, 0.5000)

Excess energy over the best structure of this formula in the dataset ... 0.5507 eV per atom
D(E_F) ... 4.10 states/eV/cell
Raw formation energy ... 0.1833 eV per atom